Entry 1:
First-principles (GGA-PBE) data for Na14In2S9 after structural relaxation, as listed in Alexandria via LeMat-Bulk.

Cell and atoms, written as POSCAR:
```
Na14In2S9
1.0
8.1149 0.0000 0.0000
-4.0575 7.0277 0.0000
0.0000 0.0000 11.2792
Na S In
14 9 2
direct
0.3495 0.0269 0.0910
0.0269 0.6774 0.9090
0.9731 0.3226 0.0910
0.6774 0.6505 0.0910
0.6505 0.9731 0.9090
0.6783 0.0483 0.4079
0.0483 0.3700 0.5921
0.3217 0.9517 0.5921
0.0000 0.0000 0.2524
0.6300 0.6783 0.5921
0.0000 0.0000 0.7476
0.9517 0.6300 0.4079
0.3700 0.3217 0.4079
0.3226 0.3495 0.9090
0.0370 0.3431 0.3394
0.6569 0.6938 0.3394
0.0000 0.0000 0.0000
0.3062 0.9630 0.3394
0.6938 0.0370 0.6606
0.6667 0.3333 0.9806
0.9630 0.6569 0.6606
0.3333 0.6667 0.0194
0.3431 0.3062 0.6606
0.6667 0.3333 0.7428
0.3333 0.6667 0.2572
```

Computed properties:
Formation energy without anion corrections, eV per atom: -0.939
Space group: P-3, No. 147

Entry 2:
First-principles (GGA-PBE) data for LiPdI after structural relaxation, as listed in Alexandria via LeMat-Bulk.

Cell and atoms, written as POSCAR:
```
LiPdI
1.0
-0.6160 4.2255 -1.6927
-0.4841 -2.3559 -6.8792
-4.2904 1.5812 -0.5054
Li I Pd
2 2 2
direct
0.6736 0.4486 0.2961
0.7914 0.9458 0.1830
0.9936 0.2317 0.6687
0.3020 0.6540 0.9764
0.1551 0.8717 0.4964
0.4766 0.0120 0.8216
```

Computed properties:
Distance to the lowest polymorph of the same formula, eV/atom: 0.0599
Formation energy without anion corrections, eV per atom: -0.497
Space group: P1, No. 1

Entry 3:
First-principles (GGA-PBE) data for Ba2Se2Cl after structural relaxation, as listed in Alexandria via LeMat-Bulk.

Cell and atoms, written as POSCAR:
```
Ba2Se2Cl
1.0
8.6950 0.0000 0.0000
0.0000 8.6950 0.0000
0.0000 0.0000 4.4677
Se Cl Ba
4 2 4
direct
0.8814 0.3814 0.5000
0.6186 0.8814 0.5000
0.3814 0.1186 0.5000
0.1186 0.6186 0.5000
0.5000 0.5000 0.0000
0.0000 0.0000 0.0000
0.1771 0.3229 0.0000
0.6771 0.1771 0.0000
0.8229 0.6771 0.0000
0.3229 0.8229 0.0000
```

Computed properties:
Distance to the lowest polymorph of the same formula, eV/atom: 0.0000
Formation energy without anion corrections, eV per atom: -1.846
Space group: P4/mbm, No. 127

Entry 4:
First-principles (GGA-PBE) data for BaRu2CS after structural relaxation, as listed in Alexandria via LeMat-Bulk.

Cell and atoms, written as POSCAR:
```
BaRu2CS
1.0
4.4020 0.0000 0.0000
0.0000 4.9329 0.0000
0.0000 0.0000 4.4020
Ba Ru C S
1 2 1 1
direct
0.5000 0.5000 0.5000
0.5000 0.0000 0.0000
0.0000 0.0000 0.5000
0.0000 0.5000 0.0000
0.0000 0.0000 0.0000
```

Computed properties:
Formation energy without anion corrections, eV per atom: 1.077
Space group: P4/mmm, No. 123

Entry 5:
First-principles (GGA-PBE) data for TiMoSe4 after structural relaxation, as listed in Alexandria via LeMat-Bulk.

Cell and atoms, written as POSCAR:
```
TiMoSe4
1.0
3.4415 0.0000 0.0000
0.0001 6.2342 -0.0590
0.0001 -0.0485 6.2343
Se Ti Mo
4 1 1
direct
0.0000 0.7937 0.7937
0.0000 0.2063 0.2063
0.5000 0.7062 0.2938
0.5000 0.2938 0.7062
0.5000 0.0000 0.0000
0.0000 0.5000 0.5000
```

Computed properties:
Formation energy without anion corrections, eV per atom: -0.586
Space group: Cmmm, No. 65

Entry 6:
First-principles (GGA-PBE) data for TbSm6Dy8 after structural relaxation, as listed in Alexandria via LeMat-Bulk.

Cell and atoms, written as POSCAR:
```
TbSm6Dy8
1.0
-1.4197 -1.6009 -6.1931
8.0179 4.0979 -2.8973
-0.0416 -9.1557 2.3762
Dy Sm Tb
8 6 1
direct
0.1024 0.0215 0.6909
0.1024 0.6694 0.9785
0.1024 0.3091 0.3306
0.8976 0.9785 0.3091
0.8976 0.6909 0.6694
0.8976 0.3306 0.0215
0.1578 0.6667 0.3333
0.8422 0.3333 0.6667
0.4046 0.0875 0.4085
0.4046 0.5915 0.6790
0.5954 0.9125 0.5915
0.4046 0.3210 0.9125
0.5954 0.4085 0.3210
0.5954 0.6790 0.0875
0.5000 0.0000 0.0000
```

Computed properties:
Distance to the lowest polymorph of the same formula, eV/atom: 0.1075
Space group: P-3, No. 147

Entry 7:
First-principles (GGA-PBE) data for Gd2DyZr after structural relaxation, as listed in Alexandria via LeMat-Bulk.

Cell and atoms, written as POSCAR:
```
Gd2DyZr
1.0
5.5169 0.0000 0.0000
2.7584 4.7777 0.0000
2.7584 1.5926 4.5045
Gd Zr Dy
2 1 1
direct
0.2500 0.2500 0.2500
0.7500 0.7500 0.7500
0.5000 0.5000 0.5000
0.0000 0.0000 0.0000
```

Computed properties:
Distance to the lowest polymorph of the same formula, eV/atom: 0.0974
Space group: Fm-3m, No. 225

Entry 8:
First-principles (GGA-PBE) data for HfVS4 after structural relaxation, as listed in Alexandria via LeMat-Bulk.

Cell and atoms, written as POSCAR:
```
HfVS4
1.0
-2.3272 -5.0987 -2.2561
1.4825 -2.6284 4.7531
-5.6949 5.4286 1.5248
Hf S V
2 8 2
direct
0.3163 0.5663 0.1327
0.6837 0.4337 0.8673
0.1934 0.8785 0.3969
0.8066 0.1215 0.6031
0.3670 0.1688 0.8939
0.7035 0.5183 0.3969
0.0268 0.7251 0.8939
0.2965 0.4817 0.6031
0.6330 0.8312 0.1061
0.9732 0.2749 0.1061
0.9445 0.1945 0.3891
0.0555 0.8055 0.6109
```

Computed properties:
Formation energy without anion corrections, eV per atom: -0.992
Space group: C2/c, No. 15

Entry 9:
First-principles (GGA-PBE) data for Ag2Ge2Pb after structural relaxation, as listed in Alexandria via LeMat-Bulk.

Cell and atoms, written as POSCAR:
```
Ag2Ge2Pb
1.0
4.1143 0.0000 0.0000
0.0000 4.1143 0.0000
2.0572 2.0572 6.4572
Ag Ge Pb
2 2 1
direct
0.3929 0.3929 0.2142
0.6071 0.6071 0.7858
0.2500 0.7500 0.5000
0.7500 0.2500 0.5000
0.0000 0.0000 0.0000
```

Computed properties:
Distance to the lowest polymorph of the same formula, eV/atom: 0.0432
Space group: I4/mmm, No. 139

Entry 10:
First-principles (GGA-PBE) data for BaNi2Ir after structural relaxation, as listed in Alexandria via LeMat-Bulk.

Cell and atoms, written as POSCAR:
```
BaNi2Ir
1.0
4.7691 0.0000 0.0000
0.0000 4.7685 0.0000
0.0000 0.0000 3.0397
Ni Ba Ir
2 1 1
direct
0.0000 0.0000 0.0000
0.5000 0.5000 0.0000
0.5000 0.0000 0.5000
0.0000 0.5000 0.5000
```

Computed properties:
Distance to the lowest polymorph of the same formula, eV/atom: 0.7468
Space group: P4/mmm, No. 123

Entry 11:
First-principles (GGA-PBE) data for Ca3GaHg after structural relaxation, as listed in Alexandria via LeMat-Bulk.

Cell and atoms, written as POSCAR:
```
Ca3GaHg
1.0
-2.4703 -3.5886 3.7493
-2.6337 -2.7112 -4.3303
4.4721 -3.5790 -0.4791
Ca Hg Ga
3 1 1
direct
0.0000 0.5000 0.0000
0.5000 0.0000 0.0000
0.0000 0.0000 0.5000
0.5000 0.5000 0.5000
0.0000 0.0000 0.0000
```

Computed properties:
Distance to the lowest polymorph of the same formula, eV/atom: 0.2962
Space group: Pm-3m, No. 221

Entry 12:
First-principles (GGA-PBE) data for PmPr4Y2Tm2 after structural relaxation, as listed in Alexandria via LeMat-Bulk.

Cell and atoms, written as POSCAR:
```
PmPr4Y2Tm2
1.0
5.1221 0.0000 0.0000
-2.5611 7.7009 0.0431
0.0000 -2.5693 7.6768
Pr Tm Y Pm
4 2 2 1
direct
0.7773 0.5545 0.6701
0.4458 0.8917 0.6706
0.2227 0.4455 0.3299
0.5542 0.1083 0.3294
0.6685 0.3369 0.9994
0.3315 0.6631 0.0006
0.1118 0.2236 0.6695
0.8882 0.7764 0.3305
0.0000 0.0000 0.0000
```

Computed properties:
VASP energy, eV/atom: -5.0616
Space group: C2/m, No. 12

Respective theoretical density values: 2.169, 5.926, 4.602, 6.663, 5.707, 7.722, 7.947, 5.065, 8.632, 10.736, 3.415, 6.701 Mg/m³.